Entry 1:
A geometry-optimized Na8B15C structure. Source: Alexandria, functional PBE.

The structure in extended XYZ format:
```
24
Lattice="8.791 -2.589 0.000 8.791 2.589 0.000 -1.036 0.000 5.938" Properties=species:S:1:pos:R:3 pbc="T T T"
Na 2.134 0.000 0.370
Na 1.617 -0.008 3.342
Na 6.389 0.000 1.113
Na 5.872 -0.001 4.079
Na 10.674 -0.001 1.858
Na 10.158 0.000 4.825
Na 14.413 0.000 5.568
Na 14.930 -0.008 2.596
B 3.998 0.860 2.224
B 3.485 0.860 5.196
B 8.537 1.703 1.470
B 8.010 1.703 4.467
B 8.273 0.899 2.969
B 8.791 0.765 0.000
B 4.007 -0.864 2.227
B 3.493 -0.865 5.196
B 13.062 0.860 0.742
B 12.549 0.860 3.714
B 8.273 -0.937 2.969
B 8.546 -1.634 1.406
B 8.000 -1.634 4.532
B 13.054 -0.865 0.742
B 12.540 -0.864 3.711
C 8.791 -0.885 0.000
```

D(E_F) (states/eV per atom): 0.146
M_tot (μB/atom): 0.00
DFT formation energy (meV per atom): 274
Space-group type: C2
Energy above the lowest structure with this stoichiometry (eV per atom): 0.005
Crystal system: monoclinic

Entry 2:
A geometry-optimized Na5B6C4 structure. Source: Alexandria, functional PBE.

The structure in extended XYZ format:
```
30
Lattice="11.332 -1.416 0.000 11.332 1.416 0.000 -3.037 0.000 9.355" Properties=species:S:1:pos:R:3 pbc="T T T"
Na 0.000 0.000 0.000
Na 0.126 0.000 6.543
Na 3.323 0.000 3.743
Na 6.517 0.000 0.930
Na 6.617 0.000 7.496
Na 9.814 0.000 4.677
Na 13.011 0.000 1.859
Na 13.111 0.000 8.425
Na 16.305 0.000 5.612
Na 19.502 0.000 2.812
B 0.623 0.000 3.916
B -0.444 0.000 9.096
B 3.776 0.000 1.081
B 3.848 0.000 7.525
B 6.061 0.000 3.627
B 10.354 0.000 2.088
B 9.273 0.000 7.267
B 13.566 0.000 5.728
B 15.779 0.000 1.830
B 15.852 0.000 8.274
B 20.071 0.000 0.259
B 19.004 0.000 5.439
C -0.455 0.000 2.682
C 2.773 0.000 6.327
C 7.153 0.000 4.837
C 9.264 0.000 0.854
C 10.363 0.000 8.500
C 12.474 0.000 4.518
C 16.855 0.000 3.028
C 20.083 0.000 6.673
```

D(E_F) (states/eV per atom): 0.172
M_tot (μB/atom): 0.00
DFT formation energy (meV per atom): 57
Space-group type: C2/m
Energy above the lowest structure with this stoichiometry (eV per atom): 0.005
Crystal system: monoclinic

Entry 3:
A geometry-optimized Na2B3C structure. Source: Alexandria, functional PBE.

The structure in extended XYZ format:
```
30
Lattice="8.961 -1.422 0.000 8.961 1.422 0.000 -5.286 0.000 12.431" Properties=species:S:1:pos:R:3 pbc="T T T"
Na 0.000 0.000 0.000
Na -2.621 0.000 6.177
Na 1.483 0.000 4.931
Na -1.166 0.000 11.175
Na 2.923 0.000 9.955
Na 5.601 0.000 3.691
Na 9.707 0.000 2.456
Na 7.115 0.000 8.681
Na 11.149 0.000 7.439
Na 13.845 0.000 1.216
B -1.053 0.000 3.908
B -0.083 0.000 7.237
B 2.581 0.000 1.108
B 0.420 0.000 8.951
B 4.053 0.000 6.050
B 1.407 0.000 12.273
B 4.513 0.000 7.636
B 7.204 0.000 1.570
B 5.484 0.000 10.927
B 8.589 0.000 6.225
B 11.254 0.000 0.150
B 12.223 0.000 3.376
B 12.719 0.000 5.019
B 10.069 0.000 11.284
B 13.786 0.000 8.686
C -3.699 0.000 10.156
C 3.033 0.000 2.628
C 8.145 0.000 4.684
C 9.609 0.000 9.735
C 16.390 0.000 2.336
```

D(E_F) (states/eV per atom): 0.345
M_tot (μB/atom): 0.00
DFT formation energy (meV per atom): 158
Space-group type: Cm
Energy above the lowest structure with this stoichiometry (eV per atom): 0.025
Crystal system: monoclinic

Entry 4:
A geometry-optimized Na5B6C4 structure. Source: Alexandria, functional PBE.

The structure in extended XYZ format:
```
30
Lattice="8.839 -1.417 0.000 8.839 1.417 0.000 -5.286 0.000 11.980" Properties=species:S:1:pos:R:3 pbc="T T T"
Na 0.000 0.000 0.000
Na -2.643 0.000 5.990
Na 1.391 0.000 4.797
Na -1.218 0.000 10.796
Na 5.484 0.000 3.571
Na 2.852 0.000 9.596
Na 9.540 0.000 2.384
Na 6.908 0.000 8.410
Na 13.610 0.000 1.184
Na 11.000 0.000 7.183
B -1.128 0.000 3.652
B 2.507 0.000 0.989
B 0.361 0.000 8.669
B 3.880 0.000 5.642
B 7.024 0.000 1.335
B 4.397 0.000 7.362
B 7.994 0.000 4.618
B 5.368 0.000 10.645
B 8.512 0.000 6.339
B 12.031 0.000 3.312
B 9.885 0.000 10.991
B 13.520 0.000 8.328
C -3.700 0.000 9.871
C -0.095 0.000 7.091
C 2.977 0.000 2.550
C 1.276 0.000 11.757
C 11.116 0.000 0.223
C 9.414 0.000 9.430
C 12.487 0.000 4.889
C 16.092 0.000 2.110
```

D(E_F) (states/eV per atom): 0.088
M_tot (μB/atom): 0.00
DFT formation energy (meV per atom): 55
Space-group type: C2/m
Energy above the lowest structure with this stoichiometry (eV per atom): 0.003
Crystal system: monoclinic

Entry 5:
A geometry-optimized Na3B5C structure. Source: Alexandria, functional PBE.

The structure in extended XYZ format:
```
18
Lattice="4.466 -2.551 0.000 4.466 2.551 0.000 0.000 0.000 8.613" Properties=species:S:1:pos:R:3 pbc="T T T"
Na 0.000 0.000 0.000
Na 0.000 0.000 4.307
Na 2.983 0.000 0.000
Na 2.983 0.000 4.307
Na 5.948 0.000 0.000
Na 5.948 0.000 4.307
B 2.971 1.678 6.460
B 3.052 1.640 2.153
B 5.880 1.640 2.153
B 5.961 1.678 6.460
B 4.466 0.790 6.460
B 4.466 -0.790 2.153
B 2.971 -1.678 2.153
B 3.052 -1.640 6.460
B 5.880 -1.640 6.460
B 5.961 -1.678 2.153
C 4.466 0.872 2.153
C 4.466 -0.872 6.460
```

D(E_F) (states/eV per atom): 0.290
M_tot (μB/atom): 0.00
DFT formation energy (meV per atom): 237
Space-group type: Cmcm
Energy above the lowest structure with this stoichiometry (eV per atom): 0.045
Crystal system: orthorhombic

Entry 6:
A geometry-optimized Na3B5C structure. Source: Alexandria, functional PBE.

The structure in extended XYZ format:
```
18
Lattice="7.997 -1.410 0.000 7.997 1.410 0.000 -5.340 0.000 8.671" Properties=species:S:1:pos:R:3 pbc="T T T"
Na 0.000 0.000 0.000
Na -0.017 0.000 4.320
Na 5.319 0.000 0.025
Na 5.327 0.000 4.335
Na 5.335 0.000 8.646
Na 10.671 0.000 4.351
B -3.430 0.000 6.494
B -1.689 0.000 6.505
B 1.972 0.000 2.162
B 1.790 0.000 6.503
B 3.465 0.000 6.499
B 7.190 0.000 2.171
B 8.864 0.000 2.168
B 8.682 0.000 6.509
B 12.343 0.000 2.165
B 14.085 0.000 2.176
C 3.528 0.000 2.156
C 7.126 0.000 6.514
```

D(E_F) (states/eV per atom): 0.173
M_tot (μB/atom): 0.00
DFT formation energy (meV per atom): 194
Space-group type: C2/m
Energy above the lowest structure with this stoichiometry (eV per atom): 0.002
Crystal system: monoclinic

Entry 7:
A geometry-optimized Na2B3C structure. Source: Alexandria, functional PBE.

The structure in extended XYZ format:
```
24
Lattice="5.194 0.000 0.000 0.000 8.631 0.000 -0.011 0.000 5.671" Properties=species:S:1:pos:R:3 pbc="T T T"
Na 0.000 2.119 0.000
Na 0.000 6.511 0.000
Na 0.001 2.155 2.832
Na 0.001 6.475 2.832
Na 2.585 2.136 1.412
Na 2.580 2.173 4.247
Na 2.580 6.458 4.247
Na 2.585 6.495 1.412
B 0.781 0.000 4.171
B 0.870 0.000 1.483
B 1.652 4.315 5.669
B 1.659 4.315 2.828
B 1.788 0.000 5.663
B 3.367 0.000 2.889
B 3.381 4.315 0.001
B 3.376 4.315 2.824
B 3.464 0.000 5.551
B 4.381 0.000 1.460
B 4.489 4.315 1.407
B 4.483 4.315 4.253
C 0.845 4.315 1.411
C 0.839 4.315 4.249
C 1.762 0.000 2.879
C 4.373 0.000 4.227
```

D(E_F) (states/eV per atom): 0.155
M_tot (μB/atom): 0.00
DFT formation energy (meV per atom): 170
Space-group type: Pm
Energy above the lowest structure with this stoichiometry (eV per atom): 0.037
Crystal system: monoclinic

Entry 8:
A geometry-optimized Na5B8C2 structure. Source: Alexandria, functional PBE.

The structure in extended XYZ format:
```
30
Lattice="9.047 -1.410 0.000 9.047 1.410 0.000 -5.227 0.000 12.639" Properties=species:S:1:pos:R:3 pbc="T T T"
Na 0.000 0.000 0.000
Na 15.505 0.000 6.255
Na 1.552 0.000 4.994
Na -1.054 0.000 11.329
Na 3.070 0.000 10.042
Na 5.687 0.000 3.755
Na 7.215 0.000 8.771
Na 9.834 0.000 2.508
Na 13.952 0.000 1.243
Na 11.380 0.000 7.486
B -3.644 0.000 10.253
B -0.974 0.000 4.155
B 2.574 0.000 0.973
B 0.429 0.000 8.728
B 3.071 0.000 2.636
B 4.096 0.000 5.935
B 1.527 0.000 12.471
B 4.613 0.000 7.591
B 7.242 0.000 1.450
B 5.718 0.000 11.340
B 8.791 0.000 6.457
B 9.780 0.000 9.785
B 12.428 0.000 3.644
B 10.253 0.000 11.378
B 13.980 0.000 8.657
B 16.608 0.000 2.472
C -0.012 0.000 7.237
C 8.308 0.000 4.922
C 11.384 0.000 0.175
C 12.896 0.000 5.157
```

D(E_F) (states/eV per atom): 0.204
M_tot (μB/atom): 0.00
DFT formation energy (meV per atom): 179
Space-group type: Cm
Energy above the lowest structure with this stoichiometry (eV per atom): 0.009
Crystal system: monoclinic

Entry 9:
A geometry-optimized Na5B8C2 structure. Source: Alexandria, functional PBE.

The structure in extended XYZ format:
```
30
Lattice="7.282 -2.565 0.000 7.282 2.565 0.000 -2.907 0.000 8.658" Properties=species:S:1:pos:R:3 pbc="T T T"
Na 0.006 0.000 2.156
Na 0.010 -0.009 6.484
Na 2.917 -0.014 2.183
Na 2.922 -0.012 6.491
Na 5.829 -0.017 2.131
Na 5.828 -0.017 6.527
Na 8.735 -0.012 2.167
Na 8.740 -0.014 6.475
Na 11.647 -0.009 2.174
Na 11.651 0.000 6.502
B 1.382 0.878 4.336
B 2.793 1.625 8.658
B 5.829 1.760 4.329
B 4.426 0.684 4.319
B 8.865 1.625 0.000
B 7.282 0.905 0.000
B 1.427 -0.830 4.332
B 4.280 -0.831 0.002
B 7.231 0.684 4.339
B 10.276 0.878 4.322
B 7.282 -0.891 0.000
B 5.807 -1.720 0.003
B 5.829 -1.668 4.329
B 7.377 -0.831 8.656
B 5.850 -1.720 8.655
B 10.230 -0.830 4.326
C 1.431 0.809 8.658
C 10.226 0.809 0.000
C 4.412 -0.867 4.317
C 7.246 -0.867 4.341
```

D(E_F) (states/eV per atom): 0.179
M_tot (μB/atom): 0.00
DFT formation energy (meV per atom): 202
Space-group type: C2
Energy above the lowest structure with this stoichiometry (eV per atom): 0.032
Crystal system: monoclinic

Entry 10:
A geometry-optimized Na2B3C structure. Source: Alexandria, functional PBE.

The structure in extended XYZ format:
```
24
Lattice="8.963 -1.423 0.000 8.963 1.423 0.000 -3.001 0.000 9.921" Properties=species:S:1:pos:R:3 pbc="T T T"
Na 0.000 0.000 0.000
Na 16.425 0.000 4.941
Na 4.108 0.000 1.229
Na 2.653 0.000 6.206
Na 6.689 0.000 7.420
Na 8.197 0.000 2.461
Na 10.822 0.000 8.672
Na 12.353 0.000 3.716
B -0.437 0.000 8.820
B 1.512 0.000 2.420
B 0.078 0.000 7.209
B 6.644 0.000 0.268
B 5.209 0.000 5.011
B 9.791 0.000 4.630
B 8.234 0.000 9.786
B 10.768 0.000 1.469
B 9.328 0.000 6.284
B 14.893 0.000 2.645
B 13.869 0.000 5.997
B 13.328 0.000 7.802
C 1.030 0.000 3.909
C 4.136 0.000 8.560
C 5.698 0.000 3.424
C 15.379 0.000 1.033
```

D(E_F) (states/eV per atom): 0.329
M_tot (μB/atom): 0.00
DFT formation energy (meV per atom): 171
Space-group type: Cm
Energy above the lowest structure with this stoichiometry (eV per atom): 0.038
Crystal system: monoclinic

Entry 11:
A geometry-optimized Na4B5C3 structure. Source: Alexandria, functional PBE.

The structure in extended XYZ format:
```
12
Lattice="2.812 0.000 0.000 0.000 8.526 0.000 0.000 0.000 5.059" Properties=species:S:1:pos:R:3 pbc="T T T"
Na 0.000 2.097 0.000
Na 0.000 6.429 0.000
Na 1.406 2.113 2.540
Na 1.406 6.413 2.540
B 0.000 0.000 1.673
B 0.000 4.263 1.764
B 0.000 4.263 3.435
B 1.406 0.000 4.202
B 1.406 4.263 0.696
C 0.000 0.000 3.364
C 1.406 0.000 0.836
C 1.406 4.263 4.227
```

D(E_F) (states/eV per atom): 0.070
M_tot (μB/atom): 0.00
DFT formation energy (meV per atom): 80
Space-group type: Pmm2
Energy above the lowest structure with this stoichiometry (eV per atom): 0.019
Crystal system: orthorhombic

Entry 12:
A geometry-optimized Na5B8C2 structure. Source: Alexandria, functional PBE.

The structure in extended XYZ format:
```
30
Lattice="2.937 0.000 0.000 -1.469 2.544 0.000 0.000 0.000 42.982" Properties=species:S:1:pos:R:3 pbc="T T T"
Na 0.000 0.000 0.000
Na 0.000 0.000 4.223
Na 0.000 0.000 8.438
Na 0.000 0.000 12.779
Na 0.000 0.000 17.129
Na 0.000 0.000 21.476
Na 0.000 0.000 25.811
Na 0.000 0.000 30.036
Na 0.000 0.000 34.383
Na 0.000 0.000 38.626
B 0.000 1.696 6.326
B 0.000 1.696 10.610
B 0.000 1.696 14.961
B 0.000 1.696 19.297
B 0.000 1.696 23.642
B 0.000 1.696 32.207
B 0.000 1.696 40.804
B 1.469 0.848 2.123
B 1.469 0.848 10.610
B 1.469 0.848 14.961
B 1.469 0.848 19.297
B 1.469 0.848 23.642
B 1.469 0.848 27.918
B 1.469 0.848 32.207
B 1.469 0.848 36.503
B 1.469 0.848 40.804
C 0.000 1.696 2.125
C 0.000 1.696 27.917
C 0.000 1.696 36.503
C 1.469 0.848 6.325
```

D(E_F) (states/eV per atom): 0.353
M_tot (μB/atom): 0.00
DFT formation energy (meV per atom): 222
Space-group type: P3m1
Energy above the lowest structure with this stoichiometry (eV per atom): 0.052
Crystal system: trigonal

Entry 13:
A geometry-optimized Na5B8C2 structure. Source: Alexandria, functional PBE.

The structure in extended XYZ format:
```
30
Lattice="2.938 0.000 0.000 -1.469 2.544 0.000 0.000 0.000 42.955" Properties=species:S:1:pos:R:3 pbc="T T T"
Na 0.000 0.000 2.169
Na 0.000 0.000 6.380
Na 0.000 0.000 10.589
Na 0.000 0.000 14.935
Na 0.000 0.000 19.300
Na 0.000 0.000 23.656
Na 0.000 0.000 28.020
Na 0.000 0.000 32.366
Na 0.000 0.000 36.575
Na 0.000 0.000 40.786
B 0.000 1.696 0.000
B 0.000 1.696 8.481
B 0.000 1.696 12.762
B 0.000 1.696 17.122
B 0.000 1.696 21.478
B 0.000 1.696 25.833
B 0.000 1.696 30.193
B 0.000 1.696 34.475
B 1.469 0.848 0.000
B 1.469 0.848 4.286
B 1.469 0.848 12.762
B 1.469 0.848 17.122
B 1.469 0.848 21.478
B 1.469 0.848 25.833
B 1.469 0.848 30.193
B 1.469 0.848 38.669
C 0.000 1.696 4.288
C 0.000 1.696 38.667
C 1.469 0.848 8.480
C 1.469 0.848 34.475
```

D(E_F) (states/eV per atom): 0.338
M_tot (μB/atom): 0.00
DFT formation energy (meV per atom): 222
Space-group type: P-6m2
Energy above the lowest structure with this stoichiometry (eV per atom): 0.052
Crystal system: hexagonal